(1)
# Ta2VBi2

A geometry-optimized Ta2VBi2 structure (PBE, the Alexandria database).

Results
energy relative to the elements = 3.83 eV/f.u.
electronic total energy = -36.75 eV/f.u.
energy above the most stable polymorph in this dataset = 0.000 eV per formula unit
spin magnetization = 0.0 μB/f.u.

Unit cell a=6.8524 b=6.8524 c=4.7113 alpha=90.00 beta=90.00 gamma=90.00
Last column: nearest neighbours and their distance in Å.
Positions (direct):
Ta1 0.1440 0.3560 0.0000  2 V 2.63, 1 Ta 2.79, 2 Bi 2.93
Ta2 0.3560 0.8560 0.0000  2 V 2.63, 1 Ta 2.79, 2 Bi 2.93
Ta3 0.6440 0.1440 0.0000  2 V 2.63, 1 Ta 2.79, 2 Bi 2.93
Ta4 0.8560 0.6440 0.0000  2 V 2.63, 1 Ta 2.79, 2 Bi 2.93
V1 0.0000 0.0000 0.0000  4 Ta 2.63
V2 0.5000 0.5000 0.0000  4 Ta 2.63
Bi1 0.1765 0.6765 0.5000  6 Ta 2.93-3.23
Bi2 0.3235 0.1765 0.5000  6 Ta 2.93-3.23
Bi3 0.6765 0.8235 0.5000  6 Ta 2.93-3.23
Bi4 0.8235 0.3235 0.5000  6 Ta 2.93-3.23

=====

(2)
# TaV2Bi2

A geometry-optimized TaV2Bi2 structure (PBE, the Alexandria database).

Results
energy relative to the elements = 3.61 eV/f.u.
electronic total energy = -34.24 eV/f.u.
energy above the most stable polymorph in this dataset = 0.238 eV per formula unit
spin magnetization = 0.8 μB/f.u.

Unit cell a=8.5343 b=8.5343 c=8.5343 alpha=155.98 beta=155.98 gamma=34.23
Last column: nearest neighbours and their distance in Å.
Positions (direct):
Ta1 0.0000 0.0000 0.0000  8 Bi 3.06
V1 0.2500 0.7500 0.5000  4 V 2.51
V2 0.7500 0.2500 0.5000  4 V 2.51
Bi1 0.3928 0.3928 0.0000  4 V 2.93, 4 Ta 3.06
Bi2 0.6072 0.6072 0.0000  4 V 2.93, 4 Ta 3.06